Entry from the Alexandria database: a relaxed structure of La6Co2Rh (PBE-GGA).

E in eV/atom: -5.929
Formation enthalpy at 0 K in meV per atom: -248
Space-group type: P-31m, No. 162

Unit cell a=6.588 b=7.127 c=7.127 alpha=120.00 beta=90.00 gamma=90.00
Fractional coordinates of all 9 atoms:
La 0.274 0.657 0.000
La 0.726 0.000 0.343
La 0.274 0.343 0.343
La 0.274 0.000 0.657
La 0.726 0.657 0.657
La 0.726 0.343 0.000
Rh 0.500 0.000 0.000
Co 0.500 0.667 0.333
Co 0.500 0.333 0.667